1.
Crystalline TlCuH2W at its relaxed geometry, computed with GGA-PBE.

Unit cell a=3.832 b=5.014 c=3.832 alpha=90.00 beta=90.00 gamma=90.00
Element x y z (fractional)
H 0.000 0.000 0.500
H 0.500 0.000 0.000
Tl 0.500 0.500 0.500
Cu 0.000 0.000 0.000
W 0.000 0.500 0.000

Summary:
M_tot	0.00	μB/f.u.
symmetry	No. 123
VASP energy	-4.00	eV/atom

2.
Crystalline Y2TlCuH at its relaxed geometry, computed with GGA-PBE.

Unit cell a=4.987 b=4.987 c=3.931 alpha=90.00 beta=90.00 gamma=90.00
Each line ends with the local moment (μB).
Element x y z (fractional)
Y 0.000 0.500 0.000  0.12
Y 0.500 0.000 0.000  0.12
H 0.000 0.000 0.000  0.00
Tl 0.500 0.500 0.500  0.00
Cu 0.000 0.000 0.500  0.01

Summary:
M_tot	0.39	μB/f.u.
symmetry	No. 123
VASP energy	-4.84	eV/atom

3.
Crystalline Tm3Cu5H12 at its relaxed geometry, computed with GGA-PBE.

Unit cell a=9.893 b=9.893 c=9.893 alpha=109.47 beta=109.47 gamma=109.47
Element x y z (fractional)
Tm 0.750 0.375 0.125
Tm 0.875 0.750 0.125
Tm 0.375 0.750 0.625
Tm 0.250 0.125 0.375
Tm 0.875 0.125 0.250
Tm 0.375 0.625 0.250
Tm 0.625 0.375 0.750
Tm 0.125 0.875 0.750
Tm 0.750 0.875 0.625
Tm 0.625 0.250 0.375
Tm 0.125 0.250 0.875
Tm 0.250 0.625 0.875
Cu 0.125 0.375 0.250
Cu 0.000 0.500 0.000
Cu 0.000 0.000 0.000
Cu 0.375 0.250 0.125
Cu 0.500 0.000 0.500
Cu 0.500 0.500 0.000
Cu 0.125 0.750 0.375
Cu 0.750 0.125 0.875
Cu 0.750 0.625 0.375
Cu 0.375 0.125 0.750
Cu 0.625 0.875 0.250
Cu 0.500 0.500 0.500
Cu 0.500 0.000 0.000
Cu 0.000 0.000 0.500
Cu 0.250 0.375 0.625
Cu 0.250 0.875 0.125
Cu 0.000 0.500 0.500
Cu 0.875 0.250 0.625
Cu 0.625 0.750 0.875
Cu 0.875 0.625 0.750
H 0.707 0.122 0.026
H 0.319 0.526 0.404
H 0.974 0.378 0.293
H 0.526 0.207 0.122
H 0.585 0.707 0.681
H 0.974 0.596 0.181
H 0.319 0.793 0.415
H 0.096 0.915 0.122
H 0.596 0.974 0.681
H 0.707 0.585 0.181
H 0.793 0.474 0.378
H 0.819 0.904 0.026
H 0.122 0.707 0.526
H 0.378 0.404 0.085
H 0.085 0.904 0.378
H 0.415 0.122 0.596
H 0.085 0.181 0.207
H 0.474 0.681 0.096
H 0.819 0.915 0.293
H 0.122 0.415 0.096
H 0.378 0.974 0.793
H 0.596 0.622 0.415
H 0.904 0.819 0.526
H 0.793 0.319 0.915
H 0.404 0.378 0.585
H 0.096 0.181 0.474
H 0.207 0.681 0.085
H 0.181 0.085 0.707
H 0.622 0.026 0.207
H 0.878 0.585 0.904
H 0.526 0.319 0.904
H 0.585 0.878 0.404
H 0.915 0.819 0.793
H 0.915 0.096 0.622
H 0.878 0.293 0.474
H 0.181 0.096 0.974
H 0.622 0.596 0.915
H 0.404 0.026 0.319
H 0.293 0.415 0.819
H 0.207 0.526 0.622
H 0.904 0.085 0.878
H 0.681 0.207 0.585
H 0.474 0.793 0.878
H 0.026 0.404 0.819
H 0.415 0.293 0.319
H 0.026 0.622 0.707
H 0.681 0.474 0.596
H 0.293 0.878 0.974

Summary:
M_tot	0.00	μB/f.u.
symmetry	No. 230
VASP energy	-3.92	eV/atom

4.
Crystalline Tm2CuH at its relaxed geometry, computed with GGA-PBE.

Unit cell a=3.706 b=3.706 c=6.657 alpha=73.84 beta=73.84 gamma=60.00
Element x y z (fractional)
H 0.000 0.000 0.000
Tm 0.739 0.739 0.784
Tm 0.261 0.261 0.216
Cu 0.500 0.500 0.500

Summary:
M_tot	0.00	μB/f.u.
symmetry	No. 166
VASP energy	-4.26	eV/atom

5.
Crystalline UCuH2 at its relaxed geometry, computed with GGA-PBE.

Unit cell a=2.981 b=2.981 c=6.168 alpha=76.02 beta=76.02 gamma=60.00
Element x y z (fractional)
H 0.091 0.091 0.728
H 0.909 0.909 0.272
U 0.500 0.500 0.500
Cu 0.000 0.000 0.000

Summary:
M_tot	0.00	μB/f.u.
symmetry	No. 166
VASP energy	-5.41	eV/atom

6.
Crystalline VCu2H at its relaxed geometry, computed with GGA-PBE.

Unit cell a=5.089 b=5.089 c=5.032 alpha=59.63 beta=59.63 gamma=90.00
Each line ends with the local moment (μB).
Element x y z (fractional)
H 0.500 0.500 0.000  0.01
H 0.250 0.750 0.500  0.01
Cu 0.430 0.125 0.250  0.06
Cu 0.320 0.625 0.250  0.06
Cu 0.375 0.570 0.750  0.06
Cu 0.875 0.680 0.750  0.06
V 0.000 0.000 0.000  1.91
V 0.750 0.250 0.500  1.91

Summary:
M_tot	2.32	μB/f.u.
symmetry	No. 122
VASP energy	-4.70	eV/atom

Q: Which formula does entry 1 have?
A: TlCuH2W

Q: Which value of M_tot does entry 6 give?
A: 2.32 μB/f.u.